# 1
! CoIrRu, relaxed, DFT PBE; values from VASP
&SYSTEM
  ibrav = 0, nat = 3, ntyp = 3
/
ATOMIC_SPECIES
Co 58.93 Co.upf
Ir 192.22 Ir.upf
Ru 101.07 Ru.upf
CELL_PARAMETERS angstrom
4.1748 0.0000 0.0000
-2.0874 3.6155 0.0000
0.0000 0.0000 2.6507
ATOMIC_POSITIONS angstrom
Co 0.0000 0.0000 0.4416
Ir 2.0874 1.2052 0.4417
Ru 0.0000 2.4103 1.7674
! ΔE to the lowest computed polymorph, meV per atom: 153
! Size of the total moment, Bohr magnetons per cell: 1.010

***

# 2
! KReSi2, relaxed, DFT PBE; values from VASP
&SYSTEM
  ibrav = 0, nat = 4, ntyp = 3
/
ATOMIC_SPECIES
Si 28.09 Si.upf
K 39.10 K.upf
Re 186.21 Re.upf
CELL_PARAMETERS angstrom
-3.8591 -1.6044 4.2207
-3.9558 -4.3372 -0.9060
5.5180 2.1137 0.6035
ATOMIC_POSITIONS angstrom
Si -0.0592 -0.0450 0.0251
K -3.8856 -2.9542 1.6481
Re -0.8279 -2.3350 0.5312
Si -1.4317 -1.4645 3.3712
! ΔE to the lowest computed polymorph, meV per atom: 776
! Size of the total moment, Bohr magnetons per cell: 0.000

***

# 3
! Ba2TlOsO5, relaxed, DFT PBE; values from VASP
&SYSTEM
  ibrav = 0, nat = 9, ntyp = 4
/
ATOMIC_SPECIES
O 16.00 O.upf
Ba 137.33 Ba.upf
Os 190.23 Os.upf
Tl 204.38 Tl.upf
CELL_PARAMETERS angstrom
-1.7937 -0.2390 3.4935
5.7178 -1.8807 2.8071
-0.5977 6.8439 -2.0542
ATOMIC_POSITIONS angstrom
O 0.0000 0.0000 0.0000
O 0.6288 0.8835 2.5987
O -0.6277 4.9345 0.0152
O 2.6976 3.8408 1.6478
Ba 2.7056 2.0925 3.7477
Os -0.8969 -0.1195 1.7468
O 3.9541 -0.2102 4.2312
Tl 2.8589 -0.9403 1.4035
Ba 0.6208 2.6318 0.4988
! Size of the total moment, Bohr magnetons per cell: 1.426
! Final energy, eV/atom: -6.3540

***

# 4
! La2YOs, relaxed, DFT PBE; values from VASP
&SYSTEM
  ibrav = 0, nat = 4, ntyp = 3
/
ATOMIC_SPECIES
Y 88.91 Y.upf
La 138.91 La.upf
Os 190.23 Os.upf
CELL_PARAMETERS angstrom
3.4867 0.0624 0.0000
-0.0720 3.4865 0.0000
0.0000 0.0000 9.7776
ATOMIC_POSITIONS angstrom
Y 1.7074 1.7745 6.6111
La 0.0000 0.0000 9.6470
Os 0.0000 0.0000 4.9755
La 1.7074 1.7745 3.2104
! ΔE to the lowest computed polymorph, meV per atom: 128
! Size of the total moment, Bohr magnetons per cell: 0.000

***

# 5
! PuI4, relaxed, DFT PBE; values from VASP
&SYSTEM
  ibrav = 0, nat = 5, ntyp = 2
/
ATOMIC_SPECIES
I 126.90 I.upf
Pu 244.00 Pu.upf
CELL_PARAMETERS angstrom
6.1029 0.0000 0.0000
0.0000 6.1029 0.0000
0.0000 0.0000 6.1029
ATOMIC_POSITIONS angstrom
I 0.0000 0.0000 0.0000
Pu 3.0515 3.0515 3.0515
I 0.0000 3.0515 3.0515
I 3.0515 0.0000 3.0515
I 3.0515 3.0515 0.0000
! Size of the total moment, Bohr magnetons per cell: 3.963
! Final energy, eV/atom: -4.6844

***

# 6
! RhWBr, relaxed, DFT PBE; values from VASP
&SYSTEM
  ibrav = 0, nat = 3, ntyp = 3
/
ATOMIC_SPECIES
W 183.84 W.upf
Rh 102.91 Rh.upf
Br 79.90 Br.upf
CELL_PARAMETERS angstrom
7.2813 -0.0157 0.0103
6.4188 2.8238 0.0322
0.8625 -1.1112 2.6131
ATOMIC_POSITIONS angstrom
W 5.0456 0.1659 1.7755
Rh 9.6278 1.5648 0.8579
Br 13.5891 2.7742 0.0647
! ΔE to the lowest computed polymorph, meV per atom: 264
! Size of the total moment, Bohr magnetons per cell: 0.000

***

# 7
! Ce3PrAl8, relaxed, DFT PBE; values from VASP
&SYSTEM
  ibrav = 0, nat = 12, ntyp = 3
/
ATOMIC_SPECIES
Al 26.98 Al.upf
Pr 140.91 Pr.upf
Ce 140.12 Ce.upf
CELL_PARAMETERS angstrom
-3.3715 -4.3840 1.2277
4.0279 1.5861 3.6544
-5.8815 5.6517 4.0297
ATOMIC_POSITIONS angstrom
Al -5.7678 0.6973 6.0547
Pr -3.3619 3.2305 2.3034
Al 1.5608 -0.4034 2.8459
Al -0.7034 1.2076 2.3806
Ce -3.3146 -0.0786 3.6874
Ce -1.4197 -1.8994 2.3892
Al -0.3654 -0.2335 4.8952
Ce -5.4846 5.2703 3.7578
Al -1.3615 2.4047 4.8481
Al -6.0859 2.0531 3.6890
Al 1.3711 2.0246 4.2629
Al -4.1341 2.8216 5.4598
! ΔE to the lowest computed polymorph, meV per atom: 5
! Size of the total moment, Bohr magnetons per cell: 1.196

***

# 8
! CeTm2Th2, relaxed, DFT PBE; values from VASP
&SYSTEM
  ibrav = 0, nat = 10, ntyp = 3
/
ATOMIC_SPECIES
Tm 168.93 Tm.upf
Th 232.04 Th.upf
Ce 140.12 Ce.upf
CELL_PARAMETERS angstrom
0.1687 -3.1298 5.1869
-7.9879 3.4006 -5.8814
6.1574 -6.9551 -0.8470
ATOMIC_POSITIONS angstrom
Tm 2.7445 -6.6974 1.8195
Th 3.8703 -6.2179 -1.4618
Tm -1.0016 -1.8926 1.2680
Th -3.0647 -2.6283 -1.4457
Th 1.4028 -4.0560 -0.0957
Tm -4.4064 0.0132 -3.3609
Ce -1.9644 -2.0820 -4.7273
Tm -0.6603 -4.7917 -2.8094
Th -5.5322 -0.4664 -0.0797
Ce 0.3025 -4.6023 3.1859
! ΔE to the lowest computed polymorph, meV per atom: 0
! Size of the total moment, Bohr magnetons per cell: 0.614

***

# 9
! LiYTa2F, relaxed, DFT PBE; values from VASP
&SYSTEM
  ibrav = 0, nat = 5, ntyp = 4
/
ATOMIC_SPECIES
Li 6.94 Li.upf
Y 88.91 Y.upf
Ta 180.95 Ta.upf
F 19.00 F.upf
CELL_PARAMETERS angstrom
-2.7674 -4.1813 -0.0720
4.6186 -3.0350 -1.2706
0.8983 -0.6787 4.8866
ATOMIC_POSITIONS angstrom
Li 2.3093 -1.5175 -0.6353
Y 0.0000 0.0000 0.0000
Ta -1.3837 -2.0906 -0.0360
Ta 0.4492 -0.3394 2.4433
F 1.3748 -3.9475 1.7720
! Size of the total moment, Bohr magnetons per cell: 0.000
! Final energy, eV/atom: -4.8581

***

# 10
! Ce2Zn3GaAu4, relaxed, DFT PBE; values from VASP
&SYSTEM
  ibrav = 0, nat = 10, ntyp = 4
/
ATOMIC_SPECIES
Au 196.97 Au.upf
Ga 69.72 Ga.upf
Ce 140.12 Ce.upf
Zn 65.41 Zn.upf
CELL_PARAMETERS angstrom
-2.1100 -3.8400 -0.2148
3.7230 -2.1008 0.9849
-2.3639 0.7140 10.4582
ATOMIC_POSITIONS angstrom
Au 0.0000 0.0000 0.0000
Au -2.5539 -1.4673 6.5240
Ga -0.3755 -2.6134 5.6142
Ce -1.6575 -1.7380 2.5582
Ce 0.1001 -0.5184 8.2851
Zn -1.1820 0.3570 5.2291
Zn 1.5497 -0.9562 1.8717
Au 0.9965 -0.7891 4.3193
Au 0.8065 -2.9704 0.3851
Zn -3.1072 -1.3002 8.9716
! Size of the total moment, Bohr magnetons per cell: 1.898
! Final energy, eV/atom: -3.6664

***

# 11
! La2CoP, relaxed, DFT PBE; values from VASP
&SYSTEM
  ibrav = 0, nat = 4, ntyp = 3
/
ATOMIC_SPECIES
Co 58.93 Co.upf
La 138.91 La.upf
P 30.97 P.upf
CELL_PARAMETERS angstrom
-1.9021 5.6084 0.7912
-1.1801 2.1430 5.4510
4.3127 -2.9701 -2.8771
ATOMIC_POSITIONS angstrom
Co 0.4347 3.2570 0.5176
La 0.0000 0.0000 0.0000
P -1.5411 3.8757 3.1211
La 0.7957 1.5243 2.8475
! Size of the total moment, Bohr magnetons per cell: 0.001
! Final energy, eV/atom: -6.0369

***

# 12
! Nd5Sm2Ru4, relaxed, DFT PBE; values from VASP
&SYSTEM
  ibrav = 0, nat = 11, ntyp = 3
/
ATOMIC_SPECIES
Nd 144.24 Nd.upf
Ru 101.07 Ru.upf
Sm 150.36 Sm.upf
CELL_PARAMETERS angstrom
-0.1773 -2.6102 2.4026
-1.5146 -4.6759 -5.1916
12.0132 -0.9315 -2.7509
ATOMIC_POSITIONS angstrom
Nd 5.2450 -5.8299 -3.3208
Nd 8.4426 -3.6824 -0.7517
Ru 7.2170 -3.6315 -3.4126
Ru 10.7361 -4.8311 -1.8304
Nd 1.8787 -4.5351 -4.7882
Nd -0.0887 -1.3051 1.2013
Nd 5.0764 -2.3876 -2.2191
Ru 3.1043 -4.5860 -2.1274
Ru -0.4148 -3.3864 -3.7095
Sm 1.4225 -2.1112 -2.1886
Sm 8.8989 -6.1063 -3.3513
! Size of the total moment, Bohr magnetons per cell: 0.000
! Final energy, eV/atom: -6.3496

***

# 13
! Ac2SmYHo, relaxed, DFT PBE; values from VASP
&SYSTEM
  ibrav = 0, nat = 10, ntyp = 4
/
ATOMIC_SPECIES
Ac 227.00 Ac.upf
Y 88.91 Y.upf
Sm 150.36 Sm.upf
Ho 164.93 Ho.upf
CELL_PARAMETERS angstrom
-1.4724 -1.7717 6.3247
-2.4715 -8.1210 -2.8502
6.0205 -2.1162 0.8088
ATOMIC_POSITIONS angstrom
Ac 1.7314 -8.5603 3.0858
Ac -0.6627 -6.7609 0.0350
Ac 2.7394 -5.2479 4.2483
Y 3.0128 -5.9688 0.3280
Sm 3.9019 -2.3253 3.2417
Sm 0.6462 -1.5626 3.8918
Ho 3.0102 -1.0581 0.4044
Y -0.9361 -6.0400 3.9553
Ho 0.0000 0.0000 0.0000
Ac 0.3452 -3.4485 1.1975
! Size of the total moment, Bohr magnetons per cell: 0.000
! Final energy, eV/atom: -4.5255

***

# 14
! SnTe2RuPt, relaxed, DFT PBE; values from VASP
&SYSTEM
  ibrav = 0, nat = 5, ntyp = 4
/
ATOMIC_SPECIES
Te 127.60 Te.upf
Ru 101.07 Ru.upf
Sn 118.71 Sn.upf
Pt 195.08 Pt.upf
CELL_PARAMETERS angstrom
-1.2587 3.0271 3.9430
2.8186 -2.8460 3.0847
4.0666 2.9663 -0.9791
ATOMIC_POSITIONS angstrom
Te 2.0333 1.4831 -0.4895
Ru 0.0000 0.0000 0.0000
Te -0.6294 1.5135 1.9715
Sn 1.4093 -1.4230 1.5423
Pt 2.8132 1.5737 3.0243
! Size of the total moment, Bohr magnetons per cell: 0.000
! Final energy, eV/atom: -4.4595

***

# 15
! YTa2In, relaxed, DFT PBE; values from VASP
&SYSTEM
  ibrav = 0, nat = 8, ntyp = 3
/
ATOMIC_SPECIES
In 114.82 In.upf
Y 88.91 Y.upf
Ta 180.95 Ta.upf
CELL_PARAMETERS angstrom
-1.8250 7.4914 -2.5448
-7.2287 -2.6404 -2.5887
-5.6614 3.0195 -0.0045
ATOMIC_POSITIONS angstrom
In -6.0066 6.4682 -2.5580
Y -4.5269 2.4255 -2.5668
Ta -6.1153 -0.1483 -1.8729
In 0.0000 0.0000 0.0000
Y -8.7085 1.4023 -2.5800
Ta -3.5057 5.2963 -1.9795
Ta -12.3507 6.4425 -4.5606
Ta -7.4585 4.1505 -1.8631
! Size of the total moment, Bohr magnetons per cell: 0.000
! Final energy, eV/atom: -7.3814

***

# 16
! SrDyY2, relaxed, DFT PBE; values from VASP
&SYSTEM
  ibrav = 0, nat = 4, ntyp = 3
/
ATOMIC_SPECIES
Y 88.91 Y.upf
Sr 87.62 Sr.upf
Dy 162.50 Dy.upf
CELL_PARAMETERS angstrom
-0.4872 -3.4336 -1.2127
2.8756 -1.9542 -1.1872
2.5845 -6.0564 10.5449
ATOMIC_POSITIONS angstrom
Y 3.7666 -8.6712 6.3432
Sr 2.4864 -5.7221 4.0725
Dy 0.0000 0.0000 0.0000
Y 1.2063 -2.7730 1.8018
! ΔE to the lowest computed polymorph, meV per atom: 15
! Size of the total moment, Bohr magnetons per cell: 0.000

***

# 17
! AlBrO, relaxed, DFT PBE; values from VASP
&SYSTEM
  ibrav = 0, nat = 12, ntyp = 3
/
ATOMIC_SPECIES
Al 26.98 Al.upf
Br 79.90 Br.upf
O 16.00 O.upf
CELL_PARAMETERS angstrom
3.3629 0.0000 -0.6508
0.0443 7.2482 0.2287
0.1469 0.2470 9.7726
ATOMIC_POSITIONS angstrom
Al 2.4540 1.0758 3.6665
Br 2.0257 1.0368 1.4535
O 2.5514 2.8690 4.1697
Al 1.0844 2.8258 5.6032
Al 2.4696 4.6694 3.7473
O 0.9431 1.0369 4.8732
Br 1.5283 6.4583 7.8969
O 1.0026 4.6262 5.1808
Al 1.1000 6.4193 5.6840
O 2.6109 6.4583 4.4773
Br 3.1088 2.6728 7.0501
Br 0.4452 4.8224 2.3004
! Size of the total moment, Bohr magnetons per cell: 0.000
! Final energy, eV/atom: -5.5471

***

# 18
! La3Pm2YP6, relaxed, DFT PBE; values from VASP
&SYSTEM
  ibrav = 0, nat = 12, ntyp = 4
/
ATOMIC_SPECIES
Pm 145.00 Pm.upf
Y 88.91 Y.upf
P 30.97 P.upf
La 138.91 La.upf
CELL_PARAMETERS angstrom
-6.6749 2.7717 -0.5335
2.4930 -2.2318 6.4285
3.8929 6.0692 -0.7645
ATOMIC_POSITIONS angstrom
Pm -0.5653 -0.5627 4.1060
Y 0.0000 0.0000 0.0000
P -1.7140 5.8378 2.7213
P -2.1987 1.8738 4.2421
La -0.1445 3.3045 2.5652
La -3.1954 4.9696 0.2484
P 1.3092 4.1878 5.0171
Pm -3.6166 1.1026 1.7889
P 1.9097 4.7352 0.8884
La 2.9064 1.6395 4.8820
P -1.5982 2.4213 0.1134
P 1.4251 0.7713 2.4092
! Size of the total moment, Bohr magnetons per cell: 0.000
! Final energy, eV/atom: -6.8400

***

# 19
! MgRh3C, relaxed, DFT PBE; values from VASP
&SYSTEM
  ibrav = 0, nat = 10, ntyp = 3
/
ATOMIC_SPECIES
Mg 24.30 Mg.upf
Rh 102.91 Rh.upf
C 12.01 C.upf
CELL_PARAMETERS angstrom
-3.8618 -3.5579 -1.7583
4.3348 -2.0740 2.7515
-2.6916 3.2878 3.8103
ATOMIC_POSITIONS angstrom
Mg -3.5978 -1.4551 2.5074
Rh -1.2387 -0.0034 2.7257
Mg -2.3026 -3.1085 0.5746
Rh 1.7535 -2.3889 2.8956
C 2.3806 -0.8878 4.0865
Rh 0.2857 -4.4739 1.2851
Rh 0.4738 -0.7332 4.8372
C -1.2265 0.3466 4.7476
Rh -1.0465 -2.7292 3.1880
Rh 0.0750 -1.5551 0.7931
! Size of the total moment, Bohr magnetons per cell: 0.000
! Final energy, eV/atom: -6.7107

***

# 20
! KMg2Rh, relaxed, DFT PBE; values from VASP
&SYSTEM
  ibrav = 0, nat = 4, ntyp = 3
/
ATOMIC_SPECIES
Mg 24.30 Mg.upf
Rh 102.91 Rh.upf
K 39.10 K.upf
CELL_PARAMETERS angstrom
-2.1653 9.7596 4.1866
-4.5551 9.6057 2.1090
-4.8667 8.3038 4.9829
ATOMIC_POSITIONS angstrom
Mg -2.7274 6.5128 2.6548
Rh -5.9187 14.1334 5.7611
Mg -11.4676 27.3837 11.1622
K -8.8540 21.1426 8.6182
! ΔE to the lowest computed polymorph, meV per atom: 355
! Size of the total moment, Bohr magnetons per cell: 0.038

***

# 21
! Tb3Tl4CdTe8, relaxed, DFT PBE; values from VASP
&SYSTEM
  ibrav = 0, nat = 16, ntyp = 4
/
ATOMIC_SPECIES
Tb 158.93 Tb.upf
Te 127.60 Te.upf
Tl 204.38 Tl.upf
Cd 112.41 Cd.upf
CELL_PARAMETERS angstrom
-4.9327 4.8568 -5.6528
-1.7389 -7.7795 -5.1666
-2.0510 -0.1830 8.6975
ATOMIC_POSITIONS angstrom
Tb -1.8949 -3.9813 1.7654
Te -2.8457 -1.0234 1.6039
Tb -3.3358 -1.4613 -5.4097
Tl -1.0255 -0.0915 4.3487
Cd -0.8694 -3.8898 -2.5833
Te -4.4266 -4.5928 3.4570
Te -4.2960 1.4871 -5.5790
Tl 0.0000 0.0000 0.0000
Tl -3.4918 2.3369 1.5223
Tl -2.4663 2.4284 -2.8264
Te -3.4041 -4.5021 -0.8977
Te -1.8241 -0.9467 -2.7463
Te -5.3185 1.3964 -1.2243
Te -6.8984 -2.1590 0.6243
Te -5.8769 -2.0823 -3.7259
Tb -4.3613 -1.5529 -1.0610
! Size of the total moment, Bohr magnetons per cell: 0.000
! Final energy, eV/atom: -3.9226